DFT (PBE) results for a relaxed structure of ThAgMo.

Results
Energy relative to the lowest polymorph listed for this composition: 0 meV/atom
Energy relative to the elements: 0.76 eV/atom
Magnetization: 0.039 μB/f.u.
SG: F-43m

Cell: 4.6514 4.6514 4.6514 Å, 60.00 60.00 60.00°
Last column: nearest neighbours and their distance in Å.
Atoms (fractional coordinates):
Ag  0.2500  0.2500  0.2500  4 Mo 2.85
Mo  0.0000  0.0000  0.0000  4 Th 2.85, 4 Ag 2.85
Th  0.7500  0.7500  0.7500  4 Mo 2.85